Density functional theory data (PBE) for a relaxed structure of ZrPaPO.

a b c (Å): 4.0241 4.0241 8.9790
angles (deg): 90.00 90.00 90.00
Space group P4/nmm (No. 129, origin choice 2)
One atom of each set of equivalent atoms:
Zr 0.2500 0.7500 0.0000 x2
Pa 0.2500 0.2500 0.3535 x2
P 0.2500 0.2500 0.7943 x2
O 0.2500 0.7500 0.5000 x2

Calculated values
The final energy comes out at -68.76 eV for the cell shown. As for the total magnetization: 1.98 μB/cell. Its calculated volume is 145.40 Å³/cell.